[1]
## CaTbGdEr (PBE)

Data for an optimized crystal structure of CaTbGdEr.

a b c (Å): 5.7437 5.7437 5.7437
angles (deg): 60.00 60.00 60.00
With the nearest neighbours (Å) after each atom.
Fractional positions:
1 Tb 0.0000 0.0000 0.0000  4 Er 3.52, 4 Ca 3.52
2 Er 0.7500 0.7500 0.7500  4 Gd 3.52, 4 Tb 3.52
3 Gd 0.5000 0.5000 0.5000  4 Er 3.52, 4 Ca 3.52
4 Ca 0.2500 0.2500 0.2500  4 Tb 3.52, 4 Gd 3.52

Summary:
- SG = F-43m (216)
- formation enthalpy at 0 K (meV/atom) = 148

---

[2]
## CaEr4Ge4 (PBE)

Data for an optimized crystal structure of CaEr4Ge4.

a b c (Å): 5.7423 9.3628 9.3628
angles (deg): 90.00 90.00 90.00
With the nearest neighbours (Å) after each atom.
Fractional positions:
1 Ge 0.1031 0.8438 0.6983  1 Ge 2.62, 4 Er 2.88-2.93
2 Ge 0.8969 0.3017 0.8438  1 Ge 2.62, 4 Er 2.88-2.93
3 Ge 0.3969 0.3438 0.1983  1 Ge 2.62, 4 Er 2.88-2.93
4 Ge 0.6031 0.8017 0.3438  1 Ge 2.62, 4 Er 2.88-2.93
5 Ge 0.8969 0.6983 0.1562  1 Ge 2.62, 4 Er 2.88-2.93
6 Ge 0.1031 0.1562 0.3017  1 Ge 2.62, 4 Er 2.88-2.93
7 Ge 0.3969 0.6562 0.8017  1 Ge 2.62, 4 Er 2.88-2.93
8 Ge 0.6031 0.1983 0.6562  1 Ge 2.62, 4 Er 2.88-2.93
9 Er 0.6148 0.1145 0.3563  5 Ge 2.88-3.01
10 Er 0.3852 0.6437 0.1145  5 Ge 2.88-3.01
11 Er 0.8852 0.3855 0.1437  5 Ge 2.88-3.01
12 Er 0.8852 0.6145 0.8563  5 Ge 2.88-3.01
13 Er 0.6148 0.8855 0.6437  5 Ge 2.88-3.01
14 Er 0.1148 0.1437 0.6145  5 Ge 2.88-3.01
15 Er 0.1148 0.8563 0.3855  5 Ge 2.88-3.01
16 Er 0.3852 0.3563 0.8855  5 Ge 2.88-3.01
17 Ca 0.5000 0.5000 0.5000  4 Ge 3.24
18 Ca 0.0000 0.0000 0.0000  4 Ge 3.24

Summary:
- SG = P4_2/n (86)
- formation enthalpy at 0 K (meV/atom) = -603

---

[3]
## CaErGe (PBE)

Data for an optimized crystal structure of CaErGe.

a b c (Å): 4.9292 4.9292 4.9292
angles (deg): 60.00 60.00 60.00
With the nearest neighbours (Å) after each atom.
Fractional positions:
1 Ge 0.2500 0.2500 0.2500  4 Ca 3.02, 4 Er 3.02
2 Ca 0.5000 0.5000 0.5000  4 Ge 3.02
3 Er 0.0000 0.0000 0.0000  4 Ge 3.02

Summary:
- SG = F-43m (216)
- formation enthalpy at 0 K (meV/atom) = -504

---

[4]
## CaErGe (PBE)

Data for an optimized crystal structure of CaErGe.

a b c (Å): 4.5250 4.5250 8.6107
angles (deg): 105.23 105.23 90.00
With the nearest neighbours (Å) after each atom.
Fractional positions:
1 Ca 0.6796 0.6796 0.3592  5 Ge 3.10-3.31
2 Ca 0.3204 0.3204 0.6408  5 Ge 3.10-3.31
3 Er 0.0000 0.5000 0.0000  4 Ge 3.03, 4 Er 3.20
4 Er 0.5000 0.0000 0.0000  4 Ge 3.03, 4 Er 3.20
5 Ge 0.1262 0.1262 0.2525  4 Er 3.03, 5 Ca 3.10-3.31
6 Ge 0.8738 0.8738 0.7475  4 Er 3.03, 5 Ca 3.10-3.31

Summary:
- SG = I4/mmm (139)
- formation enthalpy at 0 K (meV/atom) = -585

---

[5]
## Li2CaEr2Ge2 (PBE)

Data for an optimized crystal structure of Li2CaEr2Ge2.

a b c (Å): 4.5337 4.5337 9.2818
angles (deg): 75.86 75.86 60.00
With the nearest neighbours (Å) after each atom.
Fractional positions:
1 Li 0.5937 0.5937 0.2189  3 Ge 2.62
2 Li 0.4063 0.4063 0.7811  3 Ge 2.62
3 Ge 0.2545 0.2545 0.2365  3 Li 2.62, 3 Er 2.94
4 Ge 0.7455 0.7455 0.7635  3 Li 2.62, 3 Er 2.94
5 Er 0.1286 0.1286 0.6143  3 Ge 2.94, 3 Li 3.01
6 Er 0.8714 0.8714 0.3857  3 Ge 2.94, 3 Li 3.01
7 Ca 0.0000 0.0000 0.0000  6 Li 3.26, 6 Ge 3.36, 2 Er 3.44

Summary:
- SG = R-3m (166)
- formation enthalpy at 0 K (meV/atom) = -472

---

[6]
## LiCaErGe (PBE)

Data for an optimized crystal structure of LiCaErGe.

a b c (Å): 5.0677 5.0677 5.0677
angles (deg): 60.00 60.00 60.00
With the nearest neighbours (Å) after each atom.
Fractional positions:
1 Ge 0.2500 0.2500 0.2500  4 Ca 3.10, 4 Er 3.10
2 Er 0.5000 0.5000 0.5000  4 Ge 3.10, 4 Li 3.10
3 Ca 0.0000 0.0000 0.0000  4 Li 3.10, 4 Ge 3.10
4 Li 0.7500 0.7500 0.7500  4 Ca 3.10, 4 Er 3.10

Summary:
- SG = F-43m (216)
- formation enthalpy at 0 K (meV/atom) = -355

---

[7]
## CaEr2GeN4 (PBE)

Data for an optimized crystal structure of CaEr2GeN4.

a b c (Å): 3.3519 6.0608 11.6958
angles (deg): 90.00 90.00 106.05
With the nearest neighbours (Å) after each atom.
Fractional positions:
1 N 0.2622 0.5243 0.3778  1 Ge 1.83
2 N 0.5752 0.1504 0.2500  2 Ge 2.01
3 N 0.0000 0.0000 0.5000  4 Er 2.30
4 N 0.7378 0.4757 0.8778  1 Ge 1.83
5 N 0.0000 0.0000 0.0000  4 Er 2.30
6 N 0.4248 0.8496 0.7500  2 Ge 2.01
7 N 0.7378 0.4757 0.6222  1 Ge 1.83
8 N 0.2622 0.5243 0.1222  1 Ge 1.83
9 Er 0.6299 0.2598 0.4621  5 N 2.26-2.48
10 Er 0.3701 0.7402 0.9621  5 N 2.26-2.48
11 Er 0.6299 0.2598 0.0379  5 N 2.26-2.48
12 Er 0.3701 0.7402 0.5379  5 N 2.26-2.48
13 Ca 0.0997 0.1994 0.7500  6 N 2.64-2.76
14 Ca 0.9003 0.8006 0.2500  6 N 2.64-2.76
15 Ge 0.1711 0.3421 0.2500  4 N 1.83-2.01
16 Ge 0.8289 0.6579 0.7500  4 N 1.83-2.01

Summary:
- SG = Cmcm (63)
- E_form (uncorrected) (eV per atom) = -1.101

---

[8]
## Ca2ErGe3Pd4 (PBE)

Data for an optimized crystal structure of Ca2ErGe3Pd4.

a b c (Å): 4.2376 4.2376 11.3583
angles (deg): 90.00 90.00 90.00
With the nearest neighbours (Å) after each atom.
Fractional positions:
1 Pd 0.0000 0.5000 0.3414  1 Ge 2.46
2 Pd 0.5000 0.5000 0.0000  4 Ge 2.55
3 Pd 0.5000 0.0000 0.6586  1 Ge 2.46
4 Pd 0.0000 0.0000 0.0000  4 Ge 2.55
5 Ge 0.0000 0.5000 0.1249  5 Pd 2.46-2.55
6 Ge 0.5000 0.0000 0.8751  5 Pd 2.46-2.55
7 Ge 0.0000 0.0000 0.5000  4 Pd 2.78, 4 Er 3.00
8 Er 0.5000 0.5000 0.5000  4 Pd 2.78, 4 Ge 3.00
9 Ca 0.0000 0.5000 0.7727  4 Ge 3.21, 8 Pd 3.27-3.34
10 Ca 0.5000 0.0000 0.2273  4 Ge 3.21, 8 Pd 3.27-3.34

Summary:
- SG = P-4m2 (115)
- formation enthalpy at 0 K (meV/atom) = -767

---

[9]
## CaErGePt (PBE)

Data for an optimized crystal structure of CaErGePt.

a b c (Å): 4.9818 4.9818 4.9818
angles (deg): 60.00 60.00 60.00
With the nearest neighbours (Å) after each atom.
Fractional positions:
1 Ge 0.2500 0.2500 0.2500  4 Ca 3.05, 4 Er 3.05
2 Er 0.0000 0.0000 0.0000  4 Ge 3.05, 4 Pt 3.05
3 Pt 0.7500 0.7500 0.7500  4 Er 3.05, 4 Ca 3.05
4 Ca 0.5000 0.5000 0.5000  4 Pt 3.05, 4 Ge 3.05

Summary:
- SG = F-43m (216)
- formation enthalpy at 0 K (meV/atom) = -826

---

[10]
## CaErTlGe (PBE)

Data for an optimized crystal structure of CaErTlGe.

a b c (Å): 5.2499 5.2499 5.2499
angles (deg): 60.00 60.00 60.00
With the nearest neighbours (Å) after each atom.
Fractional positions:
1 Tl 0.7500 0.7500 0.7500  4 Ca 3.21, 4 Er 3.21
2 Ge 0.2500 0.2500 0.2500  4 Ca 3.21, 4 Er 3.21
3 Er 0.5000 0.5000 0.5000  4 Ge 3.21, 4 Tl 3.21
4 Ca 0.0000 0.0000 0.0000  4 Tl 3.21, 4 Ge 3.21

Summary:
- SG = F-43m (216)
- formation enthalpy at 0 K (meV/atom) = -403

---

no.,VASP energy (eV/cell)
1,-24.68
2,-88.30
3,-12.69
4,-25.87
5,-27.49
6,-14.52
7,-115.71
8,-50.86
9,-20.52
10,-15.16